(1)
TaCoCuSb (PBE-GGA, relaxed); raw total energy = -6.362 eV/atom; symmetry = No. 216
1.0
0.000 3.150 3.150
3.150 0.000 3.150
3.150 3.150 0.000
Ta Co Cu Sb
1 1 1 1
direct
0.000 0.000 0.000
0.500 0.500 0.500
0.750 0.750 0.750
0.250 0.250 0.250

(2)
Lu2O (PBE-GGA, relaxed); raw total energy = -3.894 eV/atom; symmetry = No. 227
1.0
0.000 4.137 4.137
4.137 0.000 4.137
4.137 4.137 0.000
Lu O
4 2
direct
0.000 0.000 0.000
0.000 0.000 0.500
0.000 0.500 0.000
0.500 0.000 0.000
0.375 0.375 0.375
0.625 0.625 0.625

(3)
Be2CdOs (PBE-GGA, relaxed); raw total energy = -4.283 eV/atom; symmetry = No. 216
1.0
0.000 2.993 2.993
2.993 0.000 2.993
2.993 2.993 0.000
Be Cd Os
2 1 1
direct
0.000 0.000 0.000
0.250 0.250 0.250
0.750 0.750 0.750
0.500 0.500 0.500

(4)
TbHoAl4Cu2 (PBE-GGA, relaxed); raw total energy = -4.394 eV/atom; symmetry = No. 38
1.0
6.777 0.000 0.000
0.000 2.112 5.051
0.000 -2.112 5.051
Tb Ho Al Cu
1 1 4 2
direct
0.000 0.000 0.000
0.500 0.855 0.855
0.197 0.289 0.289
0.304 0.566 0.566
0.696 0.566 0.566
0.803 0.289 0.289
0.000 0.716 0.716
0.500 0.139 0.139

(5)
Ac2Al7Au (PBE-GGA, relaxed); raw total energy = -4.211 eV/atom; symmetry = No. 115
1.0
4.505 0.000 0.000
0.000 4.505 0.000
0.000 0.000 11.003
Ac Al Au
2 7 1
direct
0.000 0.500 0.249
0.500 0.000 0.751
0.000 0.000 0.000
0.000 0.000 0.500
0.000 0.500 0.634
0.000 0.500 0.873
0.500 0.000 0.127
0.500 0.000 0.366
0.500 0.500 0.500
0.500 0.500 0.000

(6)
Lu4CoGeN2 (PBE-GGA, relaxed); raw total energy = -6.811 eV/atom; symmetry = No. 187
1.0
3.362 0.000 0.000
-1.681 2.912 0.000
0.000 0.000 13.881
Lu Co Ge N
4 1 1 2
direct
0.000 0.000 0.141
0.000 0.000 0.859
0.333 0.667 0.337
0.333 0.667 0.663
0.333 0.667 0.000
0.000 0.000 0.500
0.667 0.333 0.252
0.667 0.333 0.748

(7)
ScInNiW (PBE-GGA, relaxed); raw total energy = -6.492 eV/atom; symmetry = No. 216
1.0
0.000 3.260 3.260
3.260 0.000 3.260
3.260 3.260 0.000
Sc In Ni W
1 1 1 1
direct
0.000 0.000 0.000
0.250 0.250 0.250
0.500 0.500 0.500
0.750 0.750 0.750

(8)
HfFeNiBi (PBE-GGA, relaxed); raw total energy = -6.948 eV/atom; symmetry = No. 216
1.0
0.000 3.218 3.218
3.218 0.000 3.218
3.218 3.218 0.000
Hf Fe Ni Bi
1 1 1 1
direct
0.000 0.000 0.000
0.750 0.750 0.750
0.250 0.250 0.250
0.500 0.500 0.500

(9)
RbCdSnAu (PBE-GGA, relaxed); raw total energy = -2.248 eV/atom; symmetry = No. 216
1.0
0.000 3.804 3.804
3.804 0.000 3.804
3.804 3.804 0.000
Rb Cd Sn Au
1 1 1 1
direct
0.000 0.000 0.000
0.250 0.250 0.250
0.500 0.500 0.500
0.750 0.750 0.750

(10)
AgPb5Au3 (PBE-GGA, relaxed); raw total energy = -3.340 eV/atom; symmetry = No. 191
1.0
5.910 0.000 0.000
-2.955 5.119 0.000
0.000 0.000 8.452
Ag Pb Au
1 5 3
direct
0.000 0.000 0.000
0.000 0.000 0.500
0.333 0.667 0.196
0.333 0.667 0.804
0.667 0.333 0.196
0.667 0.333 0.804
0.000 0.500 0.500
0.500 0.000 0.500
0.500 0.500 0.500

(11)
DyCuSnTe3 (PBE-GGA, relaxed); raw total energy = -4.228 eV/atom; symmetry = No. 12
1.0
9.841 -2.137 0.000
9.841 2.137 0.000
-1.863 0.000 8.424
Dy Cu Sn Te
2 2 2 6
direct
0.160 0.160 0.084
0.840 0.840 0.916
0.454 0.454 0.792
0.546 0.546 0.208
0.122 0.122 0.567
0.878 0.878 0.433
0.000 0.000 0.000
0.321 0.321 0.660
0.323 0.323 0.158
0.500 0.500 0.500
0.677 0.677 0.842
0.679 0.679 0.340

(12)
Be2SiTc2 (PBE-GGA, relaxed); raw total energy = -7.192 eV/atom; symmetry = No. 127
1.0
5.861 0.000 0.000
0.000 5.861 0.000
0.000 0.000 3.167
Be Si Tc
4 2 4
direct
0.120 0.380 0.000
0.380 0.880 0.000
0.620 0.120 0.000
0.880 0.620 0.000
0.000 0.000 0.000
0.500 0.500 0.000
0.179 0.679 0.500
0.321 0.179 0.500
0.679 0.821 0.500
0.821 0.321 0.500

(13)
NdGdB4 (PBE-GGA, relaxed); raw total energy = -6.403 eV/atom; symmetry = No. 71
1.0
-1.662 2.879 4.033
1.662 -2.879 4.033
1.662 2.879 -4.033
Nd Gd B
1 1 4
direct
0.000 0.000 0.000
0.500 0.500 0.000
0.085 0.751 0.334
0.418 0.751 0.666
0.582 0.249 0.334
0.915 0.249 0.666

(14)
CsNbSeO (PBE-GGA, relaxed); raw total energy = -6.079 eV/atom; symmetry = No. 26
1.0
4.399 0.000 0.000
0.000 8.127 0.000
0.000 0.000 6.914
Cs Nb Se O
2 2 2 2
direct
0.000 0.192 0.000
0.000 0.808 0.500
0.500 0.408 0.435
0.500 0.592 0.935
0.000 0.254 0.500
0.000 0.746 0.000
0.500 0.430 0.152
0.500 0.570 0.652

(15)
NaAgSn (PBE-GGA, relaxed); raw total energy = -2.739 eV/atom; symmetry = No. 216
1.0
0.000 3.366 3.366
3.366 0.000 3.366
3.366 3.366 0.000
Na Ag Sn
1 1 1
direct
0.000 0.000 0.000
0.250 0.250 0.250
0.500 0.500 0.500

(16)
TmNbSnC (PBE-GGA, relaxed); raw total energy = -7.455 eV/atom; symmetry = No. 187
1.0
3.341 0.000 0.000
-1.671 2.894 0.000
0.000 0.000 14.917
Tm Nb Sn C
2 2 2 2
direct
0.000 0.000 0.174
0.000 0.000 0.826
0.667 0.333 0.345
0.667 0.333 0.655
0.000 0.000 0.500
0.667 0.333 0.000
0.333 0.667 0.268
0.333 0.667 0.732

(17)
Er2Te5O13 (PBE-GGA, relaxed); raw total energy = -6.198 eV/atom; symmetry = No. 2
1.0
6.871 0.000 0.000
2.217 8.239 0.000
0.569 0.045 10.384
Er Te O
4 10 26
direct
0.002 0.265 0.262
0.448 0.470 0.320
0.552 0.530 0.680
0.998 0.735 0.738
0.128 0.344 0.603
0.158 0.804 0.131
0.272 0.396 0.976
0.290 0.884 0.467
0.432 0.910 0.805
0.568 0.090 0.195
0.710 0.116 0.533
0.728 0.604 0.024
0.842 0.196 0.869
0.872 0.656 0.397
0.041 0.350 0.062
0.055 0.821 0.533
0.062 0.020 0.185
0.067 0.266 0.782
0.124 0.488 0.395
0.238 0.496 0.687
0.311 0.736 0.791
0.331 0.221 0.277
0.334 0.743 0.269
0.338 0.515 0.114
0.344 0.993 0.623
0.462 0.189 0.011
0.468 0.674 0.497
0.532 0.326 0.503
0.538 0.811 0.989
0.656 0.007 0.377
0.662 0.485 0.886
0.666 0.257 0.731
0.669 0.779 0.723
0.689 0.264 0.209
0.762 0.504 0.313
0.876 0.512 0.605
0.933 0.734 0.218
0.938 0.980 0.815
0.945 0.179 0.467
0.959 0.650 0.938

(18)
TaGaTe (PBE-GGA, relaxed); raw total energy = -5.532 eV/atom; symmetry = No. 216
1.0
0.000 3.280 3.280
3.280 0.000 3.280
3.280 3.280 0.000
Ta Ga Te
1 1 1
direct
0.000 0.000 0.000
0.750 0.750 0.750
0.250 0.250 0.250

(19)
LaPrH6 (PBE-GGA, relaxed); raw total energy = -4.039 eV/atom; symmetry = No. 166
1.0
3.148 1.817 2.639
-3.148 1.817 2.639
0.000 -3.635 2.639
La Pr H
1 1 6
direct
0.000 0.000 0.000
0.500 0.500 0.500
0.148 0.148 0.512
0.148 0.512 0.148
0.488 0.852 0.852
0.512 0.148 0.148
0.852 0.488 0.852
0.852 0.852 0.488

(20)
TbHg2 (PBE-GGA, relaxed); ΔE_f = -0.233 eV/atom; raw total energy = -1.974 eV/atom; symmetry = No. 12
1.0
3.217 -1.865 0.000
3.217 1.865 0.000
-2.098 0.000 6.742
Tb Hg
1 2
direct
0.000 0.000 0.000
0.224 0.224 0.665
0.776 0.776 0.335

(21)
Ho4Cu2Ir (PBE-GGA, relaxed); ΔE_f = -0.268 eV/atom; raw total energy = -5.210 eV/atom; symmetry = No. 65
1.0
3.886 -5.655 0.000
3.886 5.655 0.000
0.000 0.000 4.104
Ho Cu Ir
4 2 1
direct
0.238 0.238 0.500
0.240 0.760 0.000
0.760 0.240 0.000
0.762 0.762 0.500
0.000 0.500 0.500
0.500 0.000 0.500
0.000 0.000 0.000

(22)
Tb2NdCd3AgAu2 (PBE-GGA, relaxed); ΔE_f = -0.577 eV/atom; raw total energy = -3.474 eV/atom; symmetry = No. 38
1.0
3.892 0.000 0.000
0.000 6.871 3.945
0.000 -6.871 3.945
Tb Nd Cd Ag Au
2 1 3 1 2
direct
0.000 0.204 0.796
0.000 0.796 0.204
0.000 0.611 0.611
0.500 0.202 0.464
0.500 0.464 0.202
0.500 0.945 0.945
0.000 0.202 0.202
0.500 0.536 0.875
0.500 0.875 0.536

(23)
Mg9Al3Cu2Si7 (PBE-GGA, relaxed); raw total energy = -3.513 eV/atom; symmetry = No. 174
1.0
10.410 0.000 0.000
-5.205 9.015 0.000
0.000 0.000 3.997
Mg Al Cu Si
9 3 2 7
direct
0.005 0.801 0.000
0.141 0.521 0.000
0.199 0.203 0.000
0.380 0.859 0.000
0.479 0.620 0.000
0.503 0.365 0.500
0.635 0.138 0.500
0.797 0.995 0.000
0.862 0.497 0.500
0.251 0.006 0.500
0.755 0.749 0.500
0.994 0.245 0.500
0.333 0.667 0.500
0.667 0.333 0.000
0.000 0.000 0.500
0.143 0.727 0.500
0.273 0.416 0.500
0.419 0.131 0.000
0.584 0.857 0.500
0.712 0.581 0.000
0.869 0.288 0.000

(24)
K2CoPdBr6 (PBE-GGA, relaxed); raw total energy = -3.256 eV/atom; symmetry = No. 225
1.0
0.000 5.184 5.184
5.184 0.000 5.184
5.184 5.184 0.000
K Co Pd Br
2 1 1 6
direct
0.250 0.250 0.250
0.750 0.750 0.750
0.000 0.000 0.000
0.500 0.500 0.500
0.245 0.245 0.755
0.245 0.755 0.245
0.245 0.755 0.755
0.755 0.245 0.245
0.755 0.245 0.755
0.755 0.755 0.245